# 1
Compound: MgZnIr2
Source: Alexandria via LeMat-Bulk
Functional: GGA-PBE
Structure: relaxed

Lattice parameters (Å, degrees): 4.4034 4.4034 4.4034 60.00 60.00 60.00
Atoms (fractional coordinates):
Mg1 0.0000 0.0000 0.0000
Zn1 0.2500 0.2500 0.2500
Ir1 0.5000 0.5000 0.5000
Ir2 0.7500 0.7500 0.7500

The total magnetic moment is 0.2861 μB/atom. The energy of formation from the pure elements is -0.21 eV per formula unit. As for the space group: No. 216.

# 2
Compound: Mg2Zn2Ir
Source: Alexandria via LeMat-Bulk
Functional: GGA-PBE
Structure: relaxed

Lattice parameters (Å, degrees): 6.6576 6.6576 6.6576 147.47 147.47 46.67
Atoms (fractional coordinates):
Mg1 0.2500 0.7500 0.5000
Mg2 0.7500 0.2500 0.5000
Zn1 0.0934 0.0934 0.0000
Zn2 0.9066 0.9066 0.0000
Ir1 0.5000 0.5000 0.0000

The total magnetic moment is 0.0001 μB/atom. The energy of formation from the pure elements is 1.84 eV per formula unit. As for the space group: No. 139. Its energy above the most stable polymorph in this dataset is 639 meV per atom.

# 3
Compound: MgZn4Ir2
Source: Alexandria via LeMat-Bulk
Functional: GGA-PBE
Structure: relaxed

Lattice parameters (Å, degrees): 6.6881 6.6881 6.6881 112.41 112.41 103.74
Atoms (fractional coordinates):
Mg1 0.0000 0.0000 0.0000
Mg2 0.7500 0.2500 0.5000
Zn1 0.1715 0.7314 0.7331
Zn2 0.1884 0.2482 0.7669
Zn3 0.2686 0.0018 0.4401
Zn4 0.4814 0.4215 0.2331
Zn5 0.5616 0.8285 0.5599
Zn6 0.5785 0.8116 0.0599
Zn7 0.7518 0.5186 0.9401
Zn8 0.9982 0.4384 0.2669
Ir1 0.1878 0.6250 0.0628
Ir2 0.3750 0.4378 0.5628
Ir3 0.5622 0.1250 0.9372
Ir4 0.8750 0.8122 0.4372

The total magnetic moment is 0.0000 μB/atom. The energy of formation from the pure elements is -0.54 eV per formula unit. As for the space group: No. 122.

# 4
Compound: Mg3Zn3Ir2
Source: Alexandria via LeMat-Bulk
Functional: GGA-PBE
Structure: relaxed

Lattice parameters (Å, degrees): 5.1403 5.1403 15.4805 90.00 90.00 136.32
Atoms (fractional coordinates):
Mg1 0.0545 0.9455 0.6096
Mg2 0.0545 0.9455 0.8904
Mg3 0.3267 0.6733 0.7500
Mg4 0.6733 0.3267 0.2500
Mg5 0.9455 0.0545 0.1096
Mg6 0.9455 0.0545 0.3904
Zn1 0.3538 0.6462 0.5282
Zn2 0.3538 0.6462 0.9718
Zn3 0.3897 0.6103 0.2500
Zn4 0.6103 0.3897 0.7500
Zn5 0.6462 0.3538 0.0282
Zn6 0.6462 0.3538 0.4718
Ir1 0.2346 0.7654 0.1221
Ir2 0.2346 0.7654 0.3779
Ir3 0.7654 0.2346 0.6221
Ir4 0.7654 0.2346 0.8779

The total magnetic moment is 0.0000 μB/atom. The energy of formation from the pure elements is -1.59 eV per formula unit. As for the space group: No. 63.

# 5
Compound: MgZnIr
Source: Alexandria via LeMat-Bulk
Functional: GGA-PBE
Structure: relaxed

Lattice parameters (Å, degrees): 5.0360 5.0360 5.0360 143.06 143.06 53.23
Atoms (fractional coordinates):
Mg1 0.0000 0.0000 0.0000
Zn1 0.6854 0.6854 0.0000
Ir1 0.3317 0.3317 0.0000

The total magnetic moment is 0.0000 μB/atom. The energy of formation from the pure elements is -0.86 eV per formula unit. As for the space group: No. 107.

# 6
Compound: MgZn2Ir
Source: Alexandria via LeMat-Bulk
Functional: GGA-PBE
Structure: relaxed

Lattice parameters (Å, degrees): 3.2018 3.2018 5.9775 90.00 90.00 90.00
Atoms (fractional coordinates):
Mg1 0.0000 0.0000 0.0000
Zn1 0.5000 0.5000 0.2706
Zn2 0.5000 0.5000 0.7294
Ir1 0.0000 0.0000 0.5000

The total magnetic moment is 0.0000 μB/atom. The energy of formation from the pure elements is -0.67 eV per formula unit. As for the space group: No. 123.

Listing mass density for the structures above in their given order: 13.041, 7.258, 9.739, 7.683, 10.214, 9.413 g/cm3.